Computed, not measured: a PBEsol-optimized structure of CrRhAu2 at the SCAN level of DFT.

```
CrRhAu2
1.0
-0.518 4.176 1.400
-2.617 2.785 -2.251
-3.872 1.294 1.733
Au Cr Rh
2 1 1
Cartesian
-1.752 2.064 0.221
-5.255 6.191 0.662
0.000 0.000 0.000
-3.503 4.127 0.441
```

Output
symmetry	No. 225
energy of formation from the pure elements	0.0277	eV per atom

Computed, not measured: a PBEsol-optimized structure of LaIn2Fe at the SCAN level of DFT.

```
LaIn2Fe
1.0
-2.292 1.910 1.413
-0.780 -2.459 2.059
5.309 2.592 5.108
Fe In La
1 2 1
Cartesian
1.119 1.021 4.290
3.671 1.792 3.532
1.638 0.800 1.576
-1.536 -0.275 1.736
```

Output
symmetry	No. 123
energy of formation from the pure elements	-0.1375	eV per atom

Computed, not measured: a PBEsol-optimized structure of CaCd2Ir at the SCAN level of DFT.

```
CaCd2Ir
1.0
-1.927 -3.628 -1.476
3.795 -1.323 -1.704
-0.032 0.581 5.071
Ca Ir Cd
1 1 2
Cartesian
2.349 -1.609 0.888
0.000 0.000 0.000
0.934 -2.476 -1.590
-0.513 -2.762 1.002
```

Output
symmetry	No. 119
energy of formation from the pure elements	-0.0952	eV per atom

Computed, not measured: a PBEsol-optimized structure of MnBe3H at the SCAN level of DFT.

```
MnBe3H
1.0
3.279 0.000 0.000
0.000 3.279 0.000
0.000 0.000 3.279
Be Mn H
3 1 1
Cartesian
0.000 1.639 0.000
0.000 0.000 1.639
1.639 0.000 0.000
1.639 1.639 1.639
0.000 0.000 0.000
```

Output
symmetry	No. 221
VASP energy	-34.53	eV for the cell shown

Computed, not measured: a PBEsol-optimized structure of Zn2AgCl at the SCAN level of DFT.

```
Zn2AgCl
1.0
-0.287 -1.921 2.295
2.987 -0.333 0.095
0.479 5.667 4.802
Zn Ag Cl
2 1 1
Cartesian
0.005 0.060 0.051
1.464 0.219 2.335
0.224 2.648 2.244
1.726 3.321 4.963
```

Output
symmetry	No. 99
energy relative to the elements, uncorrected	-0.062	eV/atom
energy above the lowest structure with this stoichiometry	36.4	kJ/mol of formula units

Computed, not measured: a PBEsol-optimized structure of LuAl at the SCAN level of DFT.

```
LuAl
1.0
-2.206 2.970 4.102
-5.276 -1.091 -2.047
-0.564 -9.206 6.363
Lu Al
8 8
Cartesian
-2.820 -2.730 2.320
-5.226 -4.597 6.098
-3.832 0.236 3.348
-4.214 -7.563 5.070
-1.400 0.402 0.816
-6.646 -7.729 7.602
-2.764 -2.382 5.817
-5.282 -4.946 2.601
-5.044 -3.316 -0.311
-1.900 -5.497 6.678
-0.797 -6.982 4.627
-6.147 -1.831 1.740
-4.068 -0.857 0.293
-3.978 -6.471 8.125
-5.344 -2.208 4.304
-2.702 -5.119 4.114
```

Output
symmetry	No. 57
energy of formation from the pure elements	-0.4180	eV per atom

Computed, not measured: a PBEsol-optimized structure of Ca4Zn2Cu3P5 at the SCAN level of DFT.

```
Ca4Zn2Cu3P5
1.0
-3.174 -1.776 1.625
3.661 -0.892 1.293
-2.268 26.938 25.004
Ca Zn Cu P
8 4 6 10
Cartesian
-1.581 18.774 17.426
-0.447 5.305 4.924
-1.341 15.928 14.784
-0.927 11.011 10.220
-0.207 2.458 2.282
-2.061 24.480 22.722
-1.821 21.633 20.080
-0.687 8.164 7.578
-0.951 -0.823 2.125
0.193 12.940 14.516
-0.830 25.094 25.797
-1.975 11.330 13.406
-0.319 19.017 20.157
-2.839 21.594 22.933
1.057 2.676 4.989
-1.463 5.253 7.765
0.574 8.420 10.320
-2.355 15.851 17.602
-1.223 2.399 5.116
-3.065 24.284 25.429
-0.078 16.163 17.508
1.284 -0.013 2.493
-2.129 13.162 15.106
-1.703 8.107 10.414
0.347 11.109 12.817
-2.597 18.723 20.267
-0.559 21.871 22.806
0.815 5.548 7.655
```

Output
symmetry	No. 194
energy of formation from the pure elements	-0.9120	eV per atom

Computed, not measured: a PBEsol-optimized structure of K2ScPt at the SCAN level of DFT.

```
K2ScPt
1.0
3.214 0.000 0.000
0.000 5.596 0.000
0.000 -2.798 5.722
K Pt Sc
2 1 1
Cartesian
0.000 -1.399 2.861
0.000 1.399 2.861
1.607 0.000 0.000
1.607 2.798 0.000
```

Output
symmetry	No. 65
energy of formation from the pure elements	0.4146	eV per atom
energy above the lowest structure with this stoichiometry	294.4	kJ/mol of formula units